Here is LiGa3Ni at its PBEsol-relaxed geometry from Alexandria via LeMat-Bulk. Energies are from SCAN.

The structure in POSCAR format:
```
LiGa3Ni
1.0
4.3116 0.0000 0.0000
0.0000 4.3116 0.0000
0.0000 0.0000 4.3116
Li Ga Ni
1 3 1
Direct
0.0000 0.0000 0.0000
0.0000 0.0000 0.5000
0.0000 0.5000 0.0000
0.5000 0.0000 0.0000
0.5000 0.5000 0.5000
```

Properties
SG = Pm-3m, No. 221
Formation enthalpy at 0 K = 0.6788 eV/atom